Record 1
VASP calculation (PBE) on a relaxed TlReP2 crystal.

Formation energy from the elements ... 0.455 eV/atom
SG ... No. 160

Lattice parameters (Å, degrees): 9.210 9.210 9.210 18.91 18.91 18.91
Atoms (fractional coordinates):
P 0.247 0.247 0.247
P 0.976 0.976 0.976
Tl 0.757 0.757 0.757
Re 0.520 0.520 0.520

***

Record 2
VASP calculation (PBE) on a relaxed LiCa2Os crystal.

Formation energy from the elements ... 0.519 eV/atom
SG ... No. 216

Lattice parameters (Å, degrees): 4.928 4.928 4.928 60.00 60.00 60.00
Atoms (fractional coordinates):
Ca 0.250 0.250 0.250
Ca 0.000 0.000 0.000
Li 0.500 0.500 0.500
Os 0.750 0.750 0.750

***

Record 3
VASP calculation (PBE) on a relaxed MgCu2P crystal.

Formation energy from the elements ... -0.195 eV/atom
SG ... No. 129

Lattice parameters (Å, degrees): 3.622 3.622 8.979 90.00 90.00 90.00
Atoms (fractional coordinates):
Mg 0.500 0.000 0.226
Mg 0.000 0.500 0.774
Cu 0.000 0.000 0.500
Cu 0.000 0.500 0.065
Cu 0.500 0.000 0.935
Cu 0.500 0.500 0.500
P 0.500 0.000 0.673
P 0.000 0.500 0.327

***

> Number 1 is which compound?

TlReP2